Here is GaTcAs2Br after structural relaxation from Alexandria via LeMat-Bulk. Energies are from PBE.

a b c (Å): 4.9233 4.9233 5.0974
angles (deg): 90.00 90.00 90.00
Space group P4/mmm (No. 123)
Asymmetric unit:
1 Ga 0.0000 0.0000 0.0000 [1 per cell]
2 Tc 0.5000 0.5000 0.5000 [1 per cell]
3 As 0.0000 0.5000 0.0000 [2 per cell]
4 Br 0.0000 0.0000 0.5000 [1 per cell]

## Properties
Formation energy (no corrections) in eV/atom: 1.080
Spin magnetization in μB per atom: 0.679
Distance to the lowest polymorph of the same formula in meV/atom: 838